(1)
ZnW2Se: optimized geometry, PBE.

Properties
calculated density = 12.7 Mg/m³
E_form (uncorrected) = 0.295 eV/atom
magnetic moment = 0.000 μB per formula unit
relative energy among the computed polymorphs = 0.000 eV/atom
D(E_F) = 1.27 states/eV/f.u.

POSCAR file:
```
ZnW2Se
1.0
3.199 0.000 0.000
0.000 3.199 0.000
0.000 0.000 6.537
Zn W Se
1 2 1
Direct
0.000 0.000 0.000
0.000 0.000 0.527
0.500 0.500 0.768
0.500 0.500 0.318
```

(2)
SrMgNb2: optimized geometry, PBE.

Properties
ΔE_f = 98.0 kJ per mole of atoms
calculated density = 4.4 Mg/m³
magnetic moment = 0.000 μB per formula unit
D(E_F) = 4.61 states/eV/f.u.

POSCAR file:
```
SrMgNb2
1.0
4.514 0.000 0.000
0.000 4.514 0.000
0.000 0.000 21.939
Sr Mg Nb
4 4 8
Direct
0.000 0.000 0.000
0.000 0.500 0.250
0.500 0.000 0.750
0.500 0.500 0.500
0.000 0.000 0.500
0.000 0.500 0.750
0.500 0.000 0.250
0.500 0.500 0.000
0.112 0.250 0.625
0.250 0.612 0.875
0.250 0.888 0.375
0.388 0.250 0.125
0.612 0.750 0.125
0.750 0.112 0.375
0.750 0.388 0.875
0.888 0.750 0.625
```

(3)
SrMoP: optimized geometry, PBE.

Properties
ΔE_f = -59.2 kJ per mole of atoms
calculated density = 4.8 Mg/m³
magnetic moment = 0.001 μB per formula unit
relative energy among the computed polymorphs = 0.000 eV/atom
D(E_F) = 2.27 states/eV/f.u.

POSCAR file:
```
SrMoP
1.0
3.917 0.000 0.000
0.000 3.917 0.000
0.000 0.000 9.749
Sr Mo P
2 2 2
Direct
0.250 0.250 0.189
0.750 0.750 0.811
0.250 0.750 0.500
0.750 0.250 0.500
0.250 0.250 0.661
0.750 0.750 0.339
```

(4)
NaScBO3: optimized geometry, PBE.

Properties
calculated density = 2.9 Mg/m³
E_form (uncorrected) = -2.173 eV/atom
magnetic moment = 0.683 μB per formula unit
D(E_F) = 1.11 states/eV/f.u.

POSCAR file:
```
NaScBO3
1.0
1.451 -5.290 0.000
1.451 5.290 0.000
0.000 0.000 9.534
Na Sc B O
2 2 2 6
Direct
0.244 0.756 0.750
0.756 0.244 0.250
0.500 0.500 0.000
0.500 0.500 0.500
0.032 0.968 0.250
0.968 0.032 0.750
0.101 0.899 0.123
0.101 0.899 0.377
0.445 0.555 0.250
0.555 0.445 0.750
0.899 0.101 0.623
0.899 0.101 0.877
```

| no. | energy (eV/atom) |
| --- | --- |
| 1 | -7.37 |
| 2 | -4.84 |
| 3 | -6.59 |
| 4 | -7.04 |